No. 1
Compound: Tb2TeO2
Source: Alexandria
Functional: SCAN
Structure: PBEsol geometry

Results
* DFT total energy: -31.907 eV per atom

Unit cell a=3.897 b=3.897 c=12.356 alpha=90.00 beta=90.00 gamma=90.00
Space group I4/mmm (No. 139)
Unique sites:
Tb (0.000, 0.000, 0.161) [4 per cell]
Te (0.000, 0.000, 0.500) [2 per cell]
O (0.000, 0.500, 0.250) [4 per cell]

No. 2
Compound: KTlI2
Source: Alexandria
Functional: SCAN
Structure: PBEsol geometry

Results
* polymorph energy (0 for the lowest one): 104.0 meV per atom
* DFT total energy: -39.555 eV per atom

Unit cell a=7.608 b=7.608 c=16.149 alpha=90.00 beta=90.00 gamma=90.00
Space group I-42d (No. 122)
Unique sites:
K (0.000, 0.000, 0.000) [4 per cell]
Tl (0.000, 0.000, 0.500) [4 per cell]
I (0.243, 0.250, 0.625) [8 per cell]

In order of appearance, ΔE_f (raw) = -3.260; -1.012 eV per atom.